The following is a DFT calculation (GGA-PBE) of a relaxed structure of CaZnBr2.

Values from the calculation:
Symmetry   I-4m2 (119)
Formation energy without anion corrections   -0.94 eV per atom
Volume   106.8 Å³ per cell
Excess energy over the best structure of this formula in the dataset   32.9 kJ per mole of atoms

Cell: 6.209 6.209 6.209 Å, 137.80 137.80 61.21°
Fractional coordinates of all 4 atoms:
Ca (0.000, 0.000, 0.000)
Zn (0.250, 0.750, 0.500)
Br (0.500, 0.500, 0.000)
Br (0.750, 0.250, 0.500)

The following is a DFT calculation (GGA-PBE) of a relaxed structure of Sc4SiNi.

Values from the calculation:
Symmetry   F-43m (216)
Formation energy without anion corrections   0.45 eV per atom
Volume   120.3 Å³ per cell

Cell: 5.541 5.541 5.541 Å, 60.00 60.00 60.00°
Fractional coordinates of all 6 atoms:
Sc (0.125, 0.125, 0.125)
Sc (0.125, 0.125, 0.626)
Sc (0.125, 0.626, 0.125)
Sc (0.626, 0.125, 0.125)
Si (0.750, 0.750, 0.750)
Ni (0.500, 0.500, 0.500)

The following is a DFT calculation (GGA-PBE) of a relaxed structure of PbSO4F.

Values from the calculation:
Symmetry   C2/m (12)
Formation energy without anion corrections   -1.34 eV per atom
Volume   218.5 Å³ per cell

Cell: 5.856 5.856 6.944 Å, 104.51 104.51 75.33°
Fractional coordinates of all 14 atoms:
Pb (0.206, 0.206, 0.162)
Pb (0.794, 0.794, 0.838)
S (0.349, 0.349, 0.731)
S (0.651, 0.651, 0.269)
O (0.163, 0.489, 0.856)
O (0.229, 0.229, 0.529)
O (0.489, 0.163, 0.856)
O (0.499, 0.499, 0.702)
O (0.501, 0.501, 0.298)
O (0.511, 0.837, 0.144)
O (0.771, 0.771, 0.471)
O (0.837, 0.511, 0.144)
F (0.038, 0.038, 0.837)
F (0.962, 0.962, 0.163)